Entry 1:
A plane-wave DFT calculation with PBE-GGA was carried out for a relaxed structure of BeInFeW.

The value obtained for the size of the total moment is 3.8 μB per cell.

Cell lengths 6.024, 6.024, 6.024 Å; angles 90.00, 90.00, 90.00 degrees
Fractional coordinates of all 16 atoms:
Be  0.000  0.000  0.000
Be  0.000  0.500  0.500
Be  0.500  0.000  0.500
Be  0.500  0.500  0.000
In  0.250  0.250  0.250
In  0.250  0.750  0.750
In  0.750  0.250  0.750
In  0.750  0.750  0.250
Fe  0.000  0.000  0.500
Fe  0.000  0.500  0.000
Fe  0.500  0.000  0.000
Fe  0.500  0.500  0.500
W  0.250  0.250  0.750
W  0.250  0.750  0.250
W  0.750  0.250  0.250
W  0.750  0.750  0.750



Entry 2:
A plane-wave DFT calculation with PBE-GGA was carried out for a relaxed structure of BeInFeW.

The value obtained for the size of the total moment is 12.3 μB per cell.

Cell lengths 6.168, 6.168, 6.168 Å; angles 90.00, 90.00, 90.00 degrees
Fractional coordinates of all 16 atoms:
Be  0.000  0.000  0.000
Be  0.000  0.500  0.500
Be  0.500  0.000  0.500
Be  0.500  0.500  0.000
In  0.000  0.000  0.500
In  0.000  0.500  0.000
In  0.500  0.000  0.000
In  0.500  0.500  0.500
Fe  0.250  0.250  0.750
Fe  0.250  0.750  0.250
Fe  0.750  0.250  0.250
Fe  0.750  0.750  0.750
W  0.250  0.250  0.250
W  0.250  0.750  0.750
W  0.750  0.250  0.750
W  0.750  0.750  0.250



Entry 3:
A plane-wave DFT calculation with PBE-GGA was carried out for a relaxed structure of YBeInFe.

The value obtained for the size of the total moment is 8.5 μB per cell.

Cell lengths 6.476, 6.476, 6.476 Å; angles 90.00, 90.00, 90.00 degrees
Fractional coordinates of all 16 atoms:
Y  0.000  0.000  0.000
Y  0.000  0.500  0.500
Y  0.500  0.000  0.500
Y  0.500  0.500  0.000
Be  0.250  0.250  0.250
Be  0.250  0.750  0.750
Be  0.750  0.250  0.750
Be  0.750  0.750  0.250
In  0.000  0.000  0.500
In  0.000  0.500  0.000
In  0.500  0.000  0.000
In  0.500  0.500  0.500
Fe  0.250  0.250  0.750
Fe  0.250  0.750  0.250
Fe  0.750  0.250  0.250
Fe  0.750  0.750  0.750



| no. | calculated total energy (eV for the cell shown) | excess energy over the best structure of this formula in the dataset (eV per formula unit) |
| --- | --- | --- |
| 1 | -104.794 | 0.00 |
| 2 | -99.296 | 1.37 |
| 3 | -82.408 | 0.00 |